Density functional theory data (PBE) for CeNd3Sm2P6 after structural relaxation.

Computed properties:
Energy of formation from the pure elements, eV/atom: -1.553
SG: No. 12
Mass density, g/cm³: 5.9

Cell: 7.152 7.152 7.158 Å, 99.59 99.59 119.99°
Element x y z (fractional)
Ce: 0.000 0.000 0.000
Nd: 0.167 0.833 0.500
Nd: 0.500 0.500 0.500
Nd: 0.833 0.167 0.500
Sm: 0.334 0.666 0.000
Sm: 0.666 0.334 0.000
P: 0.081 0.411 0.244
P: 0.248 0.248 0.756
P: 0.411 0.081 0.244
P: 0.589 0.919 0.756
P: 0.752 0.752 0.244
P: 0.919 0.589 0.756